# KPa2CuS8 (GGA-PBE, relaxed)
data_KPa2CuS8
_chemical_formula_sum 'K1 Pa2 Cu1 S8'
_symmetry_space_group_name_H-M 'P 1'
_symmetry_Int_Tables_number 1
_cell_length_a 5.868
_cell_length_b 5.868
_cell_length_c 9.237
_cell_angle_alpha 90.00
_cell_angle_beta 90.00
_cell_angle_gamma 120.00
loop_
_symmetry_equiv_pos_as_xyz
'x,y,z'
loop_
_atom_site_label
_atom_site_fract_x
_atom_site_fract_y
_atom_site_fract_z
K1 0.000 0.000 0.500
Pa1 0.667 0.333 0.125
Pa2 0.333 0.667 0.875
Cu1 0.000 0.000 0.000
S1 0.822 0.643 0.847
S2 0.357 0.178 0.847
S3 0.822 0.178 0.847
S4 0.178 0.357 0.153
S5 0.643 0.822 0.153
S6 0.178 0.822 0.153
S7 0.667 0.333 0.386
S8 0.333 0.667 0.614
# - VASP energy: -5.664 eV per atom
# - Calculated volume: 22.956 Å³/atom
# - Calculated density: 4.95 Mg/m³
# - SG: P-3m1 (164)

---

# Ce2PuZr (GGA-PBE, relaxed)
data_Ce2PuZr
_chemical_formula_sum 'Ce2 Pu1 Zr1'
_symmetry_space_group_name_H-M 'P 1'
_symmetry_Int_Tables_number 1
_cell_length_a 3.494
_cell_length_b 3.494
_cell_length_c 9.541
_cell_angle_alpha 79.45
_cell_angle_beta 79.45
_cell_angle_gamma 60.00
loop_
_symmetry_equiv_pos_as_xyz
'x,y,z'
loop_
_atom_site_label
_atom_site_fract_x
_atom_site_fract_y
_atom_site_fract_z
Zr1 0.000 0.000 0.000
Ce1 0.109 0.109 0.673
Ce2 0.891 0.891 0.327
Pu1 0.500 0.500 0.500
# - VASP energy: -8.055 eV per atom
# - Calculated volume: 24.643 Å³/atom
# - ΔH_f (0 K): 0.632 eV/atom
# - Calculated density: 10.37 Mg/m³
# - SG: R-3m (166)

---

# HoTm2Tc (GGA-PBE, relaxed)
data_HoTm2Tc
_chemical_formula_sum 'Ho4 Tm8 Tc4'
_symmetry_space_group_name_H-M 'P 1'
_symmetry_Int_Tables_number 1
_cell_length_a 6.151
_cell_length_b 7.437
_cell_length_c 8.993
_cell_angle_alpha 90.00
_cell_angle_beta 90.00
_cell_angle_gamma 90.00
loop_
_symmetry_equiv_pos_as_xyz
'x,y,z'
loop_
_atom_site_label
_atom_site_fract_x
_atom_site_fract_y
_atom_site_fract_z
Ho1 0.625 0.540 0.250
Ho2 0.875 0.040 0.250
Ho3 0.375 0.460 0.750
Ho4 0.125 0.960 0.750
Tm1 0.154 0.676 0.063
Tm2 0.346 0.176 0.437
Tm3 0.846 0.324 0.563
Tm4 0.654 0.824 0.937
Tm5 0.846 0.324 0.937
Tm6 0.654 0.824 0.563
Tm7 0.154 0.676 0.437
Tm8 0.346 0.176 0.063
Tc1 0.046 0.383 0.250
Tc2 0.454 0.883 0.250
Tc3 0.954 0.617 0.750
Tc4 0.546 0.117 0.750
# - VASP energy: -6.113 eV per atom
# - Calculated volume: 25.711 Å³/atom
# - ΔH_f (0 K): -0.142 eV/atom
# - Calculated density: 9.70 Mg/m³
# - SG: Pnma (62)

---

# TaP4Ir (GGA-PBE, relaxed)
data_TaP4Ir
_chemical_formula_sum 'Ta1 P4 Ir1'
_symmetry_space_group_name_H-M 'P 1'
_symmetry_Int_Tables_number 1
_cell_length_a 4.940
_cell_length_b 4.940
_cell_length_c 4.940
_cell_angle_alpha 60.00
_cell_angle_beta 60.00
_cell_angle_gamma 60.00
loop_
_symmetry_equiv_pos_as_xyz
'x,y,z'
loop_
_atom_site_label
_atom_site_fract_x
_atom_site_fract_y
_atom_site_fract_z
Ta1 0.750 0.750 0.750
P1 0.875 0.375 0.375
P2 0.375 0.375 0.875
P3 0.375 0.875 0.375
P4 0.375 0.375 0.375
Ir1 0.000 0.000 0.000
# - VASP energy: -6.475 eV per atom
# - Calculated volume: 14.211 Å³/atom
# - ΔH_f (0 K): 0.584 eV/atom
# - Calculated density: 9.68 Mg/m³
# - SG: F-43m (216)

---

Among the records above, which one has the lowest calculated density? KPa2CuS8

---

Look up the VASP energy of the third one. -6.113 eV per atom

---

The lowest calculated density belongs to which entry? KPa2CuS8

---

Repeat the first record exactly.
# KPa2CuS8 (GGA-PBE, relaxed)
data_KPa2CuS8
_chemical_formula_sum 'K1 Pa2 Cu1 S8'
_symmetry_space_group_name_H-M 'P 1'
_symmetry_Int_Tables_number 1
_cell_length_a 5.868
_cell_length_b 5.868
_cell_length_c 9.237
_cell_angle_alpha 90.00
_cell_angle_beta 90.00
_cell_angle_gamma 120.00
loop_
_symmetry_equiv_pos_as_xyz
'x,y,z'
loop_
_atom_site_label
_atom_site_fract_x
_atom_site_fract_y
_atom_site_fract_z
K1 0.000 0.000 0.500
Pa1 0.667 0.333 0.125
Pa2 0.333 0.667 0.875
Cu1 0.000 0.000 0.000
S1 0.822 0.643 0.847
S2 0.357 0.178 0.847
S3 0.822 0.178 0.847
S4 0.178 0.357 0.153
S5 0.643 0.822 0.153
S6 0.178 0.822 0.153
S7 0.667 0.333 0.386
S8 0.333 0.667 0.614
# - VASP energy: -5.664 eV per atom
# - Calculated volume: 22.956 Å³/atom
# - Calculated density: 4.95 Mg/m³
# - SG: P-3m1 (164)